Record 1
This record from the Alexandria database describes a geometry-optimized SmEr2Ru structure. The functional is PBE.

space-group type	No. 123
offset from the most stable computed form	0.0556	eV/atom

Cell: 3.4162 3.4162 8.9286 Å, 90.00 90.00 90.00°
Positions (direct):
Sm  0.0000  0.0000  0.0000
Er  0.5000  0.5000  0.3185
Er  0.5000  0.5000  0.6815
Ru  0.0000  0.0000  0.5000

---

Record 2
This record from the Alexandria database describes a geometry-optimized Li2BeRu structure. The functional is PBE.

space-group type	No. 71
E_tot	-16.7	eV per formula unit

Cell: 5.0635 5.0635 5.0635 Å, 149.00 134.97 55.67°
Positions (direct):
Li  0.2262  0.2262  0.0000
Li  0.7738  0.7738  0.0000
Be  0.0000  0.5000  0.5000
Ru  0.5000  0.0000  0.5000

---

Record 3
This record from the Alexandria database describes a geometry-optimized Ba2SiP2 structure. The functional is PBE.

formation energy without anion corrections	-0.518	eV per atom
space-group type	No. 127

Cell: 7.5013 7.5013 4.8373 Å, 90.00 90.00 90.00°
Positions (direct):
Ba  0.1859  0.3141  0.0000
Ba  0.3141  0.8141  0.0000
Ba  0.6859  0.1859  0.0000
Ba  0.8141  0.6859  0.0000
Si  0.0000  0.0000  0.5000
Si  0.5000  0.5000  0.5000
P  0.1059  0.6059  0.5000
P  0.3941  0.1059  0.5000
P  0.6059  0.8941  0.5000
P  0.8941  0.3941  0.5000

---

- Which formula does entry 3 have?
  Ba2SiP2